Entry from Alexandria via LeMat-Bulk: crystalline Pm3TeP2 at its relaxed geometry (PBE-GGA).

The structure belongs to space group Imma (No. 74); the cell edges are 7.4676, 11.6629 and 8.5624 Å and the angles 90.00°, 90.00° and 90.00°. The asymmetric unit holds Pm at (0.2321, 0.0000, 0.0000), Pm at (0.2500, 0.2500, 0.2500), Te at (0.0000, 0.2500, 0.9241) and P at (0.0000, 0.0616, 0.2872).

The calculation puts the final energy at -139.8 eV per cell. As for the uncorrected formation energy: -6.729 eV/f.u.

Entry from Alexandria via LeMat-Bulk: crystalline Cs2AcCeS4 at its relaxed geometry (PBE-GGA).

The structure belongs to space group P2/m (No. 10); the cell edges are 7.6045, 4.3913 and 8.4778 Å and the angles 90.00°, 107.37° and 90.00°. The asymmetric unit holds Cs at (0.0000, 0.0000, 0.0000), Cs at (0.5000, 0.5000, 0.0000), Ac at (0.0000, 0.5000, 0.5000), Ce at (0.5000, 0.0000, 0.5000), S at (0.2398, 0.0000, 0.6905) and S at (0.2807, 0.5000, 0.3141).

The calculation puts the final energy at -42.7 eV per cell. As for the uncorrected formation energy: -14.434 eV/f.u.

Entry from Alexandria via LeMat-Bulk: crystalline CuTc2Sb at its relaxed geometry (PBE-GGA).

The structure belongs to space group Cm (No. 8); the cell edges are 9.0389, 3.0291 and 4.6662 Å and the angles 90.00°, 100.29° and 90.00°. The asymmetric unit holds Cu at (0.0000, 0.0000, 0.0000), Tc at (0.2489, 0.5000, 0.2457), Tc at (0.4887, 0.0000, 0.4676) and Sb at (0.2409, 0.0000, 0.7480).

The calculation puts the final energy at -55.5 eV per cell. As for the uncorrected formation energy: 1.198 eV/f.u.

Entry from Alexandria via LeMat-Bulk: crystalline Mn2NbNiH at its relaxed geometry (PBE-GGA).

The structure belongs to space group P4/mmm (No. 123); the cell edges are 3.9456, 3.9456 and 3.5068 Å and the angles 90.00°, 90.00° and 90.00°. The asymmetric unit holds Mn at (0.0000, 0.5000, 0.0000), Nb at (0.0000, 0.0000, 0.5000), Ni at (0.5000, 0.5000, 0.5000) and H at (0.5000, 0.5000, 0.0000).

The energy above the most stable polymorph in this dataset is 0 meV/atom. The calculation puts the final energy at -37.9 eV per cell.

Entry from Alexandria via LeMat-Bulk: crystalline Na2Cu3Sn5 at its relaxed geometry (PBE-GGA).

The structure belongs to space group Ibam (No. 72); the cell edges are 11.5616, 12.6439 and 6.3748 Å and the angles 90.00°, 90.00° and 90.00°. The asymmetric unit holds Na at (0.2374, 0.1500, 0.0000), Cu at (0.0000, 0.5000, 0.2500), Cu at (0.1233, 0.1333, 0.5000), Sn at (0.0000, 0.0000, 0.2500), Sn at (0.0000, 0.2636, 0.2500) and Sn at (0.1592, 0.4108, 0.0000).

The energy above the most stable polymorph in this dataset is 17 meV/atom. The calculation puts the final energy at -142.0 eV per cell.

Entry from Alexandria via LeMat-Bulk: crystalline LiLuSb at its relaxed geometry (PBE-GGA).

The structure belongs to space group I4mm (No. 107); the cell edges are 4.0546, 4.0546 and 8.7025 Å and the angles 90.00°, 90.00° and 90.00°. The asymmetric unit holds Li at (0.0000, 0.0000, 0.0000), Lu at (0.0000, 0.0000, 0.6630) and Sb at (0.0000, 0.0000, 0.3130).

The energy above the most stable polymorph in this dataset is 118 meV/atom. The calculation puts the final energy at -23.7 eV per cell. As for the uncorrected formation energy: -1.275 eV/f.u.

Entry from Alexandria via LeMat-Bulk: crystalline ZnCr2In at its relaxed geometry (PBE-GGA).

The structure belongs to space group C2/m (No. 12); the cell edges are 9.1162, 3.3137 and 4.3945 Å and the angles 90.00°, 111.09° and 90.00°. The asymmetric unit holds Zn at (0.0000, 0.0000, 0.0000), Cr at (0.2389, 0.5000, 0.1631) and In at (0.0000, 0.5000, 0.5000).

The calculation puts the final energy at -43.1 eV per cell.

Entry from Alexandria via LeMat-Bulk: crystalline Sm2GdAl at its relaxed geometry (PBE-GGA).

The structure belongs to space group R-3m (No. 166, hexagonal axes); the cell edges are 3.6246, 3.6246 and 31.9814 Å and the angles 90.00°, 90.00° and 120.00°. The asymmetric unit holds Sm at (0.0000, 0.0000, 0.2394), Gd at (0.0000, 0.0000, 0.0000) and Al at (0.0000, 0.0000, 0.5000).

The energy above the most stable polymorph in this dataset is 153 meV/atom. The calculation puts the final energy at -82.2 eV per cell.

Entry from Alexandria via LeMat-Bulk: crystalline Cr2CS at its relaxed geometry (PBE-GGA).

The structure belongs to space group Fm-3m (No. 225); the cell edges are 5.3877, 5.3877 and 5.3877 Å and the angles 90.00°, 90.00° and 90.00°. The asymmetric unit holds Cr at (0.2500, 0.2500, 0.2500), C at (0.0000, 0.0000, 0.0000) and S at (0.0000, 0.0000, 0.5000).

The calculation puts the final energy at -122.9 eV per cell. As for the uncorrected formation energy: 1.874 eV/f.u.

Entry from Alexandria via LeMat-Bulk: crystalline Tm4ZnSe2S at its relaxed geometry (PBE-GGA).

The structure belongs to space group P2/m (No. 10); the cell edges are 6.9779, 3.8886 and 7.0249 Å and the angles 90.00°, 108.26° and 90.00°. The asymmetric unit holds Tm at (0.2454, 0.0000, 0.2334), Tm at (0.2545, 0.5000, 0.7605), Zn at (0.5000, 0.0000, 0.0000), Se at (0.0000, 0.0000, 0.5000), Se at (0.5000, 0.5000, 0.5000) and S at (0.0000, 0.5000, 0.0000).

The calculation puts the final energy at -41.4 eV per cell. As for the uncorrected formation energy: -11.157 eV/f.u.

Entry from Alexandria via LeMat-Bulk: crystalline Hg2P at its relaxed geometry (PBE-GGA).

The structure belongs to space group Cmcm (No. 63); the cell edges are 4.5812, 15.3622 and 4.6396 Å and the angles 90.00°, 90.00° and 90.00°. The asymmetric unit holds Hg at (0.0000, 0.0612, 0.2500), Hg at (0.0000, 0.2914, 0.2500) and P at (0.0000, 0.3564, 0.7500).

The energy above the most stable polymorph in this dataset is 201 meV/atom. The calculation puts the final energy at -20.6 eV per cell.

Entry from Alexandria via LeMat-Bulk: crystalline LuMgBe4 at its relaxed geometry (PBE-GGA).

The structure belongs to space group F-43m (No. 216); the cell edges are 6.8254, 6.8254 and 6.8254 Å and the angles 90.00°, 90.00° and 90.00°. The asymmetric unit holds Lu at (0.0000, 0.0000, 0.0000), Mg at (0.2500, 0.2500, 0.7500) and Be at (0.1286, 0.1286, 0.3714).

The calculation puts the final energy at -81.7 eV per cell.

Entry from Alexandria via LeMat-Bulk: crystalline Pm3Dy3Sc2 at its relaxed geometry (PBE-GGA).

The structure belongs to space group C2/m (No. 12); the cell edges are 16.8141, 5.4855 and 5.6816 Å and the angles 90.00°, 108.72° and 90.00°. The asymmetric unit holds Pm at (0.0000, 0.0000, 0.0000), Pm at (0.1403, 0.0000, 0.6885), Dy at (0.0000, 0.5000, 0.5000), Dy at (0.1388, 0.5000, 0.0989) and Sc at (0.2500, 0.0000, 0.3111).

The energy above the most stable polymorph in this dataset is 39 meV/atom. The calculation puts the final energy at -80.2 eV per cell.

Entry from Alexandria via LeMat-Bulk: crystalline LaZr2Zn at its relaxed geometry (PBE-GGA).

The structure belongs to space group I-42d (No. 122); the cell edges are 4.3343, 4.3343 and 21.0516 Å and the angles 90.00°, 90.00° and 90.00°. The asymmetric unit holds La at (0.0000, 0.0000, 0.0000), Zr at (0.2347, 0.7500, 0.6250) and Zn at (0.0000, 0.0000, 0.5000).

The calculation puts the final energy at -89.2 eV per cell.

Entry from Alexandria via LeMat-Bulk: crystalline LiBiO2F at its relaxed geometry (PBE-GGA).

The structure belongs to space group P4/mmm (No. 123); the cell edges are 4.3089, 4.3089 and 4.5307 Å and the angles 90.00°, 90.00° and 90.00°. The asymmetric unit holds Li at (0.0000, 0.0000, 0.0000), Bi at (0.5000, 0.5000, 0.5000), O at (0.0000, 0.5000, 0.5000) and F at (0.5000, 0.5000, 0.0000).

The calculation puts the final energy at -24.2 eV per cell. As for the uncorrected formation energy: -6.643 eV/f.u.

Entry from Alexandria via LeMat-Bulk: crystalline Li2RhSeCl at its relaxed geometry (PBE-GGA).

The structure belongs to space group P4/mmm (No. 123); the cell edges are 4.3044, 4.3044 and 4.7103 Å and the angles 90.00°, 90.00° and 90.00°. The asymmetric unit holds Li at (0.0000, 0.5000, 0.0000), Rh at (0.0000, 0.0000, 0.5000), Se at (0.5000, 0.5000, 0.5000) and Cl at (0.0000, 0.0000, 0.0000).

The calculation puts the final energy at -19.0 eV per cell. As for the uncorrected formation energy: -2.504 eV/f.u.

Entry from Alexandria via LeMat-Bulk: crystalline LiAc2Ge3 at its relaxed geometry (PBE-GGA).

The structure belongs to space group Fmmm (No. 69); the cell edges are 8.7955, 9.1264 and 15.1573 Å and the angles 90.00°, 90.00° and 90.00°. The asymmetric unit holds Li at (0.0000, 0.0000, 0.1656), Ac at (0.0000, 0.2395, 0.5000), Ac at (0.2500, 0.2500, 0.2500), Ge at (0.0000, 0.0000, 0.3306) and Ge at (0.2424, 0.0000, 0.0845).

The energy above the most stable polymorph in this dataset is 0 meV/atom. The calculation puts the final energy at -224.6 eV per cell.

Entry from Alexandria via LeMat-Bulk: crystalline LiAg3 at its relaxed geometry (PBE-GGA).

The structure belongs to space group I4/mmm (No. 139); the cell edges are 4.0960, 4.0960 and 8.1546 Å and the angles 90.00°, 90.00° and 90.00°. The asymmetric unit holds Li at (0.0000, 0.0000, 0.0000), Ag at (0.0000, 0.0000, 0.5000) and Ag at (0.0000, 0.5000, 0.2500).

The calculation puts the final energy at -22.0 eV per cell.

Entry from Alexandria via LeMat-Bulk: crystalline AcY5Tm at its relaxed geometry (PBE-GGA).

The structure belongs to space group C2/c (No. 15); the cell edges are 11.2101, 13.0750 and 7.0981 Å and the angles 90.00°, 109.19° and 90.00°. The asymmetric unit holds Ac at (0.0000, 0.1550, 0.2500), Y at (0.0000, 0.1118, 0.7500), Y at (0.0261, 0.3705, 0.5345), Y at (0.2438, 0.4782, 0.3599) and Tm at (0.2500, 0.2500, 0.0000).

The calculation puts the final energy at -157.8 eV per cell.

Entry from Alexandria via LeMat-Bulk: crystalline CoMo2W at its relaxed geometry (PBE-GGA).

The structure belongs to space group Imm2 (No. 44); the cell edges are 3.1936, 4.3689 and 8.5247 Å and the angles 90.00°, 90.00° and 90.00°. The asymmetric unit holds Co at (0.0000, 0.0000, 0.0000), Mo at (0.0000, 0.0000, 0.5026), Mo at (0.0000, 0.5000, 0.7567) and W at (0.0000, 0.5000, 0.2484).

The energy above the most stable polymorph in this dataset is 104 meV/atom. The calculation puts the final energy at -82.0 eV per cell.

Entry from Alexandria via LeMat-Bulk: crystalline La7Zn2Pd2 at its relaxed geometry (PBE-GGA).

The structure belongs to space group Cmmm (No. 65); the cell edges are 8.1064, 11.4073 and 7.3003 Å and the angles 90.00°, 90.00° and 90.00°. The asymmetric unit holds La at (0.0000, 0.0000, 0.0000), La at (0.0000, 0.5000, 0.2810), La at (0.2500, 0.2500, 0.2760), Zn at (0.1559, 0.0000, 0.5000) and Pd at (0.0000, 0.2941, 0.0000).

The calculation puts the final energy at -100.6 eV per cell.

Entry from Alexandria via LeMat-Bulk: crystalline LiCu2As at its relaxed geometry (PBE-GGA).

The structure belongs to space group R3m (No. 160, hexagonal axes); the cell edges are 2.9329, 2.9329 and 23.8464 Å and the angles 90.00°, 90.00° and 120.00°. The asymmetric unit holds Li at (0.0000, 0.0000, 0.0000), Cu at (0.0000, 0.0000, 0.4992), Cu at (0.0000, 0.0000, 0.7541) and As at (0.0000, 0.0000, 0.2462).

The calculation puts the final energy at -43.3 eV per cell.

Entry from Alexandria via LeMat-Bulk: crystalline BePRhS2 at its relaxed geometry (PBE-GGA).

The structure belongs to space group P4/mmm (No. 123); the cell edges are 4.2642, 4.2642 and 4.0922 Å and the angles 90.00°, 90.00° and 90.00°. The asymmetric unit holds Be at (0.0000, 0.0000, 0.0000), P at (0.0000, 0.0000, 0.5000), Rh at (0.5000, 0.5000, 0.5000) and S at (0.0000, 0.5000, 0.0000).

The energy above the most stable polymorph in this dataset is 0 meV/atom. The calculation puts the final energy at -21.7 eV per cell. As for the uncorrected formation energy: 3.019 eV/f.u.

Entry from Alexandria via LeMat-Bulk: crystalline AlBiRh2C at its relaxed geometry (PBE-GGA).

The structure belongs to space group P4/mmm (No. 123); the cell edges are 5.0203, 5.0203 and 4.3186 Å and the angles 90.00°, 90.00° and 90.00°. The asymmetric unit holds Al at (0.0000, 0.0000, 0.0000), Bi at (0.5000, 0.5000, 0.5000), Rh at (0.0000, 0.5000, 0.5000) and C at (0.5000, 0.5000, 0.0000).

The calculation puts the final energy at -22.5 eV per cell.

Entry from Alexandria via LeMat-Bulk: crystalline Nd2MgBr2N2 at its relaxed geometry (PBE-GGA).

The structure belongs to space group I4/mmm (No. 139); the cell edges are 4.0932, 4.0932 and 18.4346 Å and the angles 90.00°, 90.00° and 90.00°. The asymmetric unit holds Nd at (0.0000, 0.0000, 0.0828), Mg at (0.0000, 0.0000, 0.5000), Br at (0.0000, 0.0000, 0.3335) and N at (0.0000, 0.5000, 0.0000).

The calculation puts the final energy at -81.5 eV per cell. As for the uncorrected formation energy: -9.624 eV/f.u.

Entry from Alexandria via LeMat-Bulk: crystalline CsBePd2 at its relaxed geometry (PBE-GGA).

The structure belongs to space group I-42d (No. 122); the cell edges are 5.4978, 5.4978 and 14.0831 Å and the angles 90.00°, 90.00° and 90.00°. The asymmetric unit holds Cs at (0.0000, 0.0000, 0.0000), Be at (0.0000, 0.0000, 0.5000) and Pd at (0.0242, 0.2500, 0.6250).

The calculation puts the final energy at -57.6 eV per cell.